VASP calculation (PBE) on a geometry-optimized NaTlHW2 structure.

Unit cell a=5.6195 b=3.1009 c=5.6195 alpha=90.00 beta=90.00 gamma=90.00
Last column: nearest neighbours and their distance in Å.
Fractional coordinates of all 5 atoms:
1 Na 0.5000 0.5000 0.5000  2 Na 3.10, 8 W 3.21
2 Tl 0.0000 0.0000 0.0000  2 H 1.55
3 W 0.0000 0.0000 0.5000  2 Tl 2.81, 2 W 3.10
4 W 0.5000 0.0000 0.0000  2 Tl 2.81, 2 W 3.10
5 H 0.0000 0.5000 0.0000  2 Tl 1.55

Output
The symmetry is P4/mmm (123). Its final energy is -4.25 eV/atom. The density of states at the Fermi level is 4.188 states/eV/cell.

VASP calculation (PBE) on a geometry-optimized ScTiNbSn structure.

Unit cell a=4.7744 b=4.7744 c=4.7744 alpha=60.00 beta=60.00 gamma=60.00
Last column: nearest neighbours and their distance in Å.
Fractional coordinates of all 4 atoms:
1 Sc 0.7500 0.7500 0.7500  4 Nb 2.92, 4 Sn 2.92
2 Nb 0.0000 0.0000 0.0000  4 Sc 2.92, 4 Ti 2.92
3 Sn 0.5000 0.5000 0.5000  4 Sc 2.92, 4 Ti 2.92
4 Ti 0.2500 0.2500 0.2500  4 Nb 2.92, 4 Sn 2.92

Output
The symmetry is F-43m (216). Its final energy is -7.30 eV/atom. The density of states at the Fermi level is 2.044 states/eV/cell.